EuAlInHg: optimized geometry, PBE.

Calculated values
space group	F-43m, No. 216
ΔE_f	-99	kJ/mol of formula units

Lattice parameters (Å, degrees): 5.1854 5.1854 5.1854 60.00 60.00 60.00
Site moments in Bohr magnetons follow the coordinates.
Element x y z (fractional)
Hg1 0.7500 0.7500 0.7500  0.00
Eu1 0.0000 0.0000 0.0000  6.80
Al1 0.5000 0.5000 0.5000  -0.01
In1 0.2500 0.2500 0.2500  0.00


Tb5In4Ga: optimized geometry, PBE.

Calculated values
space group	P4/mmm, No. 123
ΔE_f	-478	kJ/mol of formula units

Lattice parameters (Å, degrees): 3.6690 3.6690 19.4235 90.00 90.00 90.00
Element x y z (fractional)
Tb1 0.5000 0.5000 0.9099
In1 0.0000 0.0000 0.8078
In2 0.0000 0.0000 0.1922
Tb2 0.5000 0.5000 0.0901
Tb3 0.5000 0.5000 0.7063
Ga1 0.0000 0.0000 0.0000
In3 0.0000 0.0000 0.6034
Tb4 0.5000 0.5000 0.2937
In4 0.0000 0.0000 0.3966
Tb5 0.5000 0.5000 0.5000


K2CdBi2: optimized geometry, PBE.

Calculated values
space group	Amm2, No. 38
ΔE_f	-101	kJ/mol of formula units
polymorph energy (0 for the lowest one)	0.412	eV/f.u.

Lattice parameters (Å, degrees): 5.1205 4.7849 8.2801 106.79 90.00 90.00
Element x y z (fractional)
K1 0.0000 0.9243 0.8487
Cd1 0.5000 0.1154 0.2308
Bi1 0.5000 0.5061 0.0121
K2 0.0000 0.6913 0.3825
Bi2 0.5000 0.3050 0.6101


AlC2: optimized geometry, PBE.

Calculated values
space group	I4/mmm, No. 139
ΔE_f	302	kJ/mol of formula units
polymorph energy (0 for the lowest one)	2.264	eV/f.u.

Lattice parameters (Å, degrees): 3.5137 3.5137 3.5137 124.18 124.18 82.89
Element x y z (fractional)
C1 0.8730 0.8730 0.0000
C2 0.1270 0.1270 0.0000
Al1 0.5000 0.5000 0.0000


PuCoAu: optimized geometry, PBE.

Calculated values
space group	C2/m, No. 12
ΔE_f	-61	kJ/mol of formula units

Lattice parameters (Å, degrees): 4.1404 6.8466 9.7746 124.58 90.00 90.00
Site moments in Bohr magnetons follow the coordinates.
Element x y z (fractional)
Pu1 0.0000 0.8212 0.0697  5.27
Au1 0.0000 0.5886 0.6792  0.00
Co1 0.0000 0.1579 0.6329  -1.27
Au2 0.0000 0.4114 0.3208  0.00
Co2 0.5000 0.1579 0.1329  -1.27
Pu2 0.5000 0.8212 0.5697  5.27
Co3 0.0000 0.8421 0.3671  -1.27
Pu3 0.5000 0.1788 0.4303  5.27
Au3 0.5000 0.5886 0.1792  0.00
Au4 0.5000 0.4114 0.8208  0.00
Pu4 0.0000 0.1788 0.9303  5.27
Co4 0.5000 0.8421 0.8671  -1.27


NaCuOF2: optimized geometry, PBE.

Calculated values
space group	P4/mmm, No. 123
polymorph energy (0 for the lowest one)	0.000	eV/f.u.
ΔE_f (raw)	-1.469	eV per atom

Lattice parameters (Å, degrees): 4.1095 4.1095 3.6159 90.00 90.00 90.00
Site moments in Bohr magnetons follow the coordinates.
Element x y z (fractional)
Na1 0.5000 0.5000 0.5000  0.00
Cu1 0.0000 0.0000 0.0000  0.53
O1 0.0000 0.0000 0.5000  0.48
F1 0.0000 0.5000 0.0000  0.07
F2 0.5000 0.0000 0.0000  0.07


Number 1: total magnetic moment 1.74 μB/atom. Number 2: total magnetic moment 0.00 μB/atom. Number 3: total magnetic moment 0.00 μB/atom. Number 4: total magnetic moment 0.00 μB/atom. Number 5: total magnetic moment 1.46 μB/atom. Number 6: total magnetic moment 0.25 μB/atom.